[1]
# TmSbIr

A geometry-optimized TmSbIr structure (GGA-PBE, the Open Quantum Materials Database).

Space-group type: P-62m, No. 189
E_tot in eV/atom: -6.102
Volume in Å³/cell: 185.5
Total magnetic moment in μB/cell: 0.020

```
data_TmSbIr
_space_group_name_H-M_alt 'P 1'
_space_group_IT_number 1
_cell_length_a 8.1436
_cell_length_b 8.1436
_cell_length_c 3.2302
_cell_angle_alpha 90.00
_cell_angle_beta 90.00
_cell_angle_gamma 120.00
loop_
_space_group_symop_operation_xyz
'x,y,z'
loop_
_atom_site_label
_atom_site_fract_x
_atom_site_fract_y
_atom_site_fract_z
_atom_site_occupancy
Tm1 0.0000 0.3001 0.0000 1
Tm2 0.3001 0.0000 0.0000 1
Tm3 0.6999 0.6999 0.0000 1
Sb1 0.0000 0.0000 0.5000 1
Sb2 0.3333 0.6667 0.0000 1
Sb3 0.6667 0.3333 0.0000 1
Ir1 0.0000 0.6461 0.5000 1
Ir2 0.3539 0.3539 0.5000 1
Ir3 0.6461 0.0000 0.5000 1
```


[2]
# BiIr2

A geometry-optimized BiIr2 structure (GGA-PBE, the Open Quantum Materials Database).

Space-group type: Fd-3m, No. 227
E_tot in eV/atom: -6.861
Volume in Å³/cell: 113.4
Total magnetic moment in μB/cell: 0.000

```
data_BiIr2
_space_group_name_H-M_alt 'P 1'
_space_group_IT_number 1
_cell_length_a 5.4331
_cell_length_b 5.4331
_cell_length_c 5.4331
_cell_angle_alpha 60.00
_cell_angle_beta 60.00
_cell_angle_gamma 60.00
loop_
_space_group_symop_operation_xyz
'x,y,z'
loop_
_atom_site_label
_atom_site_fract_x
_atom_site_fract_y
_atom_site_fract_z
_atom_site_occupancy
Bi1 0.1250 0.1250 0.1250 1
Bi2 0.8750 0.8750 0.8750 1
Ir1 0.0000 0.5000 0.5000 1
Ir2 0.5000 0.0000 0.5000 1
Ir3 0.5000 0.5000 0.0000 1
Ir4 0.5000 0.5000 0.5000 1
```


[3]
# GdCdC

A geometry-optimized GdCdC structure (GGA-PBE, the Open Quantum Materials Database).

Space-group type: P3m1, No. 156
E_tot in eV/atom: -4.422
Volume in Å³/cell: 187.0
Total magnetic moment in μB/cell: 0.171

```
data_GdCdC
_space_group_name_H-M_alt 'P 1'
_space_group_IT_number 1
_cell_length_a 3.6242
_cell_length_b 3.6242
_cell_length_c 16.4362
_cell_angle_alpha 90.00
_cell_angle_beta 90.00
_cell_angle_gamma 120.00
loop_
_space_group_symop_operation_xyz
'x,y,z'
loop_
_atom_site_label
_atom_site_fract_x
_atom_site_fract_y
_atom_site_fract_z
_atom_site_occupancy
Gd1 0.0000 0.0000 0.0000 1
Gd2 0.0000 0.0000 0.4918 1
Gd3 0.3333 0.6667 0.6596 1
Cd1 0.0000 0.0000 0.8241 1
Cd2 0.3333 0.6667 0.1603 1
Cd3 0.3333 0.6667 0.3301 1
C1 0.6667 0.3333 0.2095 1
C2 0.6667 0.3333 0.5743 1
C3 0.6667 0.3333 0.9311 1
```


[4]
# SmMgIr

A geometry-optimized SmMgIr structure (GGA-PBE, the Open Quantum Materials Database).

Space-group type: Pnma, No. 62
E_tot in eV/atom: -5.675
Volume in Å³/cell: 256.4
Total magnetic moment in μB/cell: 0.000

```
data_SmMgIr
_space_group_name_H-M_alt 'P 1'
_space_group_IT_number 1
_cell_length_a 7.1733
_cell_length_b 4.1509
_cell_length_c 8.6124
_cell_angle_alpha 90.00
_cell_angle_beta 90.00
_cell_angle_gamma 90.00
loop_
_space_group_symop_operation_xyz
'x,y,z'
loop_
_atom_site_label
_atom_site_fract_x
_atom_site_fract_y
_atom_site_fract_z
_atom_site_occupancy
Sm1 0.0393 0.2500 0.1762 1
Sm2 0.4607 0.7500 0.6762 1
Sm3 0.5393 0.2500 0.3238 1
Sm4 0.9607 0.7500 0.8238 1
Mg1 0.1339 0.2500 0.5585 1
Mg2 0.3661 0.7500 0.0585 1
Mg3 0.6339 0.2500 0.9415 1
Mg4 0.8661 0.7500 0.4415 1
Ir1 0.2473 0.7500 0.3715 1
Ir2 0.2527 0.2500 0.8715 1
Ir3 0.7473 0.7500 0.1285 1
Ir4 0.7527 0.2500 0.6285 1
```


[5]
# CdBiSbO

A geometry-optimized CdBiSbO structure (GGA-PBE, the Open Quantum Materials Database).

Space-group type: P2_12_12_1, No. 19
E_tot in eV/atom: -3.932
Volume in Å³/cell: 409.5

```
data_CdBiSbO
_space_group_name_H-M_alt 'P 1'
_space_group_IT_number 1
_cell_length_a 6.5737
_cell_length_b 7.7004
_cell_length_c 8.0896
_cell_angle_alpha 90.00
_cell_angle_beta 90.00
_cell_angle_gamma 90.00
loop_
_space_group_symop_operation_xyz
'x,y,z'
loop_
_atom_site_label
_atom_site_fract_x
_atom_site_fract_y
_atom_site_fract_z
_atom_site_occupancy
Cd1 0.0424 0.1708 0.3914 1
Cd2 0.4576 0.8292 0.8914 1
Cd3 0.5424 0.3292 0.6086 1
Cd4 0.9576 0.6708 0.1086 1
Bi1 0.0560 0.5736 0.6880 1
Bi2 0.4440 0.4264 0.1880 1
Bi3 0.5560 0.9264 0.3120 1
Bi4 0.9440 0.0736 0.8120 1
Sb1 0.1349 0.8108 0.3956 1
Sb2 0.3651 0.1892 0.8956 1
Sb3 0.6349 0.6892 0.6044 1
Sb4 0.8651 0.3108 0.1044 1
O1 0.1143 0.7706 0.8830 1
O2 0.3857 0.2294 0.3830 1
O3 0.6143 0.7294 0.1170 1
O4 0.8857 0.2706 0.6170 1
```


[6]
# BeAlAsOs

A geometry-optimized BeAlAsOs structure (GGA-PBE, the Open Quantum Materials Database).

Space-group type: F-43m, No. 216
E_tot in eV/atom: -5.567
Volume in Å³/cell: 55.3
Total magnetic moment in μB/cell: 0.001

```
data_BeAlAsOs
_space_group_name_H-M_alt 'P 1'
_space_group_IT_number 1
_cell_length_a 4.2768
_cell_length_b 4.2768
_cell_length_c 4.2768
_cell_angle_alpha 60.00
_cell_angle_beta 60.00
_cell_angle_gamma 60.00
loop_
_space_group_symop_operation_xyz
'x,y,z'
loop_
_atom_site_label
_atom_site_fract_x
_atom_site_fract_y
_atom_site_fract_z
_atom_site_occupancy
Be1 0.0000 0.0000 0.0000 1
Al1 0.2500 0.2500 0.2500 1
As1 0.7500 0.7500 0.7500 1
Os1 0.5000 0.5000 0.5000 1
```


[7]
# Pr2Pd2O5

A geometry-optimized Pr2Pd2O5 structure (GGA-PBE, the Open Quantum Materials Database).

Space-group type: P4/mmm, No. 123
E_tot in eV/atom: -6.729
Volume in Å³/cell: 116.2
Total magnetic moment in μB/cell: 0.000

```
data_Pr2Pd2O5
_space_group_name_H-M_alt 'P 1'
_space_group_IT_number 1
_cell_length_a 4.0557
_cell_length_b 4.0557
_cell_length_c 7.0662
_cell_angle_alpha 90.00
_cell_angle_beta 90.00
_cell_angle_gamma 90.00
loop_
_space_group_symop_operation_xyz
'x,y,z'
loop_
_atom_site_label
_atom_site_fract_x
_atom_site_fract_y
_atom_site_fract_z
_atom_site_occupancy
Pr1 0.0000 0.0000 0.0000 1
Pr2 0.0000 0.0000 0.5000 1
Pd1 0.5000 0.5000 0.1943 1
Pd2 0.5000 0.5000 0.8057 1
O1 0.0000 0.5000 0.2296 1
O2 0.0000 0.5000 0.7704 1
O3 0.5000 0.0000 0.2296 1
O4 0.5000 0.0000 0.7704 1
O5 0.5000 0.5000 0.5000 1
```


[8]
# TlCu9

A geometry-optimized TlCu9 structure (GGA-PBE, the Open Quantum Materials Database).

Space-group type: P4/nmm, No. 129
E_tot in eV/atom: -3.446
Volume in Å³/cell: 329.6

```
data_TlCu9
_space_group_name_H-M_alt 'P 1'
_space_group_IT_number 1
_cell_length_a 2.7049
_cell_length_b 2.7049
_cell_length_c 45.0529
_cell_angle_alpha 90.00
_cell_angle_beta 90.00
_cell_angle_gamma 90.00
loop_
_space_group_symop_operation_xyz
'x,y,z'
loop_
_atom_site_label
_atom_site_fract_x
_atom_site_fract_y
_atom_site_fract_z
_atom_site_occupancy
Tl1 0.2500 0.2500 0.1383 1
Tl2 0.7500 0.7500 0.8617 1
Cu1 0.2500 0.2500 0.2286 1
Cu2 0.2500 0.2500 0.3014 1
Cu3 0.2500 0.2500 0.3740 1
Cu4 0.2500 0.2500 0.4461 1
Cu5 0.2500 0.2500 0.5179 1
Cu6 0.2500 0.2500 0.5899 1
Cu7 0.2500 0.2500 0.6622 1
Cu8 0.2500 0.2500 0.7350 1
Cu9 0.2500 0.2500 0.8079 1
Cu10 0.7500 0.7500 0.1921 1
Cu11 0.7500 0.7500 0.2650 1
Cu12 0.7500 0.7500 0.3378 1
Cu13 0.7500 0.7500 0.4101 1
Cu14 0.7500 0.7500 0.4821 1
Cu15 0.7500 0.7500 0.5539 1
Cu16 0.7500 0.7500 0.6260 1
Cu17 0.7500 0.7500 0.6986 1
Cu18 0.7500 0.7500 0.7714 1
```


[9]
# PrCdPt

A geometry-optimized PrCdPt structure (GGA-PBE, the Open Quantum Materials Database).

Space-group type: F-43m, No. 216
E_tot in eV/atom: -4.096
Volume in Å³/cell: 85.7
Energy relative to the elements in kcal/mol of atoms: -4.33
Total magnetic moment in μB/cell: 0.006

```
data_PrCdPt
_space_group_name_H-M_alt 'P 1'
_space_group_IT_number 1
_cell_length_a 4.9484
_cell_length_b 4.9484
_cell_length_c 4.9484
_cell_angle_alpha 60.00
_cell_angle_beta 60.00
_cell_angle_gamma 60.00
loop_
_space_group_symop_operation_xyz
'x,y,z'
loop_
_atom_site_label
_atom_site_fract_x
_atom_site_fract_y
_atom_site_fract_z
_atom_site_occupancy
Pr1 0.0000 0.0000 0.0000 1
Cd1 0.7500 0.7500 0.7500 1
Pt1 0.2500 0.2500 0.2500 1
```


[10]
# PrGdGe2Os2

A geometry-optimized PrGdGe2Os2 structure (GGA-PBE, the Open Quantum Materials Database).

Space-group type: P4mm, No. 99
E_tot in eV/atom: -7.326
Volume in Å³/cell: 126.3
Total magnetic moment in μB/cell: 0.015

```
data_PrGdGe2Os2
_space_group_name_H-M_alt 'P 1'
_space_group_IT_number 1
_cell_length_a 4.2569
_cell_length_b 4.2569
_cell_length_c 6.9682
_cell_angle_alpha 90.00
_cell_angle_beta 90.00
_cell_angle_gamma 90.00
loop_
_space_group_symop_operation_xyz
'x,y,z'
loop_
_atom_site_label
_atom_site_fract_x
_atom_site_fract_y
_atom_site_fract_z
_atom_site_occupancy
Pr1 0.0000 0.0000 0.0000 1
Gd1 0.5000 0.5000 0.6314 1
Ge1 0.0000 0.0000 0.5280 1
Ge2 0.5000 0.5000 0.1259 1
Os1 0.0000 0.5000 0.3271 1
Os2 0.5000 0.0000 0.3271 1
```


[11]
# Zn2FeCo

A geometry-optimized Zn2FeCo structure (GGA-PBE, the Open Quantum Materials Database).

Space-group type: R-3m, No. 166
E_tot in eV/atom: -4.407
Volume in Å³/cell: 48.6
Energy relative to the elements in kcal/mol of atoms: 1.82
Total magnetic moment in μB/cell: 3.129

```
data_Zn2FeCo
_space_group_name_H-M_alt 'P 1'
_space_group_IT_number 1
_cell_length_a 4.0862
_cell_length_b 4.0862
_cell_length_c 4.0862
_cell_angle_alpha 60.28
_cell_angle_beta 60.28
_cell_angle_gamma 60.28
loop_
_space_group_symop_operation_xyz
'x,y,z'
loop_
_atom_site_label
_atom_site_fract_x
_atom_site_fract_y
_atom_site_fract_z
_atom_site_occupancy
Zn1 0.2499 0.2499 0.2499 1
Zn2 0.7501 0.7501 0.7501 1
Fe1 0.0000 0.0000 0.0000 1
Co1 0.5000 0.5000 0.5000 1
```


[12]
# KLi2ErB2O6

A geometry-optimized KLi2ErB2O6 structure (GGA-PBE, the Open Quantum Materials Database).

Space-group type: P2_1/c, No. 14
E_tot in eV/atom: -6.978
Volume in Å³/cell: 535.0
Total magnetic moment in μB/cell: 0.010

```
data_KLi2ErB2O6
_space_group_name_H-M_alt 'P 1'
_space_group_IT_number 1
_cell_length_a 6.6355
_cell_length_b 9.2504
_cell_length_c 9.9024
_cell_angle_alpha 90.00
_cell_angle_beta 118.33
_cell_angle_gamma 90.00
loop_
_space_group_symop_operation_xyz
'x,y,z'
loop_
_atom_site_label
_atom_site_fract_x
_atom_site_fract_y
_atom_site_fract_z
_atom_site_occupancy
K1 0.1606 0.1247 0.0861 1
K2 0.1606 0.3753 0.5861 1
K3 0.8394 0.6247 0.4139 1
K4 0.8394 0.8753 0.9139 1
Li1 0.3654 0.1147 0.4499 1
Li2 0.3654 0.3853 0.9499 1
Li3 0.4245 0.6158 0.5062 1
Li4 0.4245 0.8842 0.0062 1
Li5 0.5755 0.1158 0.9938 1
Li6 0.5755 0.3842 0.4938 1
Li7 0.6346 0.6147 0.0501 1
Li8 0.6346 0.8853 0.5501 1
Er1 0.1959 0.6168 0.1582 1
Er2 0.1959 0.8832 0.6582 1
Er3 0.8041 0.1168 0.3418 1
Er4 0.8041 0.3832 0.8418 1
B1 0.1127 0.1411 0.7617 1
B2 0.1127 0.3589 0.2617 1
B3 0.4161 0.6300 0.7841 1
B4 0.4161 0.8700 0.2841 1
B5 0.5839 0.1300 0.7159 1
B6 0.5839 0.3700 0.2159 1
B7 0.8873 0.6411 0.7383 1
B8 0.8873 0.8589 0.2383 1
O1 0.0024 0.1050 0.6055 1
O2 0.0024 0.3950 0.1055 1
O3 0.0910 0.2257 0.3164 1
O4 0.0910 0.2743 0.8164 1
O5 0.2594 0.0355 0.8586 1
O6 0.2594 0.4645 0.3586 1
O7 0.2868 0.6515 0.6282 1
O8 0.2868 0.8485 0.1282 1
O9 0.4513 0.7492 0.8764 1
O10 0.4513 0.7508 0.3764 1
O11 0.4908 0.5032 0.1497 1
O12 0.4908 0.9968 0.6497 1
O13 0.5092 0.0032 0.3503 1
O14 0.5092 0.4968 0.8503 1
O15 0.5487 0.2492 0.6236 1
O16 0.5487 0.2508 0.1236 1
O17 0.7132 0.1515 0.8718 1
O18 0.7132 0.3485 0.3718 1
O19 0.7406 0.5355 0.6414 1
O20 0.7406 0.9645 0.1414 1
O21 0.9090 0.7257 0.1836 1
O22 0.9090 0.7743 0.6836 1
O23 0.9976 0.6050 0.8945 1
O24 0.9976 0.8950 0.3945 1
```